# Li7Pb2 | the Alexandria database | SCAN | single point on PBEsol structure
data_Li7Pb2
_chemical_formula_sum 'Li7 Pb2'
_symmetry_space_group_name_H-M 'P 1'
_symmetry_Int_Tables_number 1
_symmetry_space_group_name_Hall 'P 1'
_cell_length_a 4.6896
_cell_length_b 4.6896
_cell_length_c 8.4823
_cell_angle_alpha 90.00
_cell_angle_beta 90.00
_cell_angle_gamma 120.00
loop_
_atom_site_label
_atom_site_type_symbol
_atom_site_fract_x
_atom_site_fract_y
_atom_site_fract_z
_atom_site_occupancy
Li1 Li 0.0000 0.0000 0.0000 1
Li2 Li 0.0000 0.0000 0.3237 1
Li3 Li 0.0000 0.0000 0.6763 1
Li4 Li 0.3333 0.6667 0.1031 1
Li5 Li 0.3333 0.6667 0.4239 1
Li6 Li 0.6667 0.3333 0.5761 1
Li7 Li 0.6667 0.3333 0.8969 1
Pb1 Pb 0.3333 0.6667 0.7636 1
Pb2 Pb 0.6667 0.3333 0.2364 1
# **Spin magnetization**: 0.00 μB per atom
# **Crystal system**: trigonal
# **Symmetry**: No. 164
# **Density**: 4.759 Mg/m³
# **N(E_F)**: 1.8 states/eV per cell
# **Energy of formation from the pure elements**: -429.9 meV per atom
# **Total energy**: -172.2 eV per cell